[1]
! PBE KNaLiEu, relaxed; values from VASP
! space-group type = F-43m (216)
&SYSTEM
  ibrav = 0, nat = 4, ntyp = 4
/
ATOMIC_SPECIES
K 39.10 K.upf
Li 6.94 Li.upf
Eu 151.96 Eu.upf
Na 22.99 Na.upf
ATOMIC_POSITIONS crystal
K 0.000 0.000 0.000
Li 0.250 0.250 0.250
Eu 0.500 0.500 0.500
Na 0.750 0.750 0.750
CELL_PARAMETERS angstrom
6.265 0.000 0.000
3.132 5.425 0.000
3.132 1.808 5.115



[2]
! PBE KLiEuPb, relaxed; values from VASP
! space-group type = F-43m (216)
&SYSTEM
  ibrav = 0, nat = 4, ntyp = 4
/
ATOMIC_SPECIES
Pb 207.20 Pb.upf
Eu 151.96 Eu.upf
Li 6.94 Li.upf
K 39.10 K.upf
ATOMIC_POSITIONS crystal
Pb 0.000 0.000 0.000
Eu 0.750 0.750 0.750
Li 0.250 0.250 0.250
K 0.500 0.500 0.500
CELL_PARAMETERS angstrom
5.579 0.000 0.000
2.789 4.831 0.000
2.789 1.610 4.555



[3]
! PBE KLiEuTl, relaxed; values from VASP
! space-group type = F-43m (216)
&SYSTEM
  ibrav = 0, nat = 4, ntyp = 4
/
ATOMIC_SPECIES
Eu 151.96 Eu.upf
Tl 204.38 Tl.upf
K 39.10 K.upf
Li 6.94 Li.upf
ATOMIC_POSITIONS crystal
Eu 0.000 0.000 0.000
Tl 0.250 0.250 0.250
K 0.750 0.750 0.750
Li 0.500 0.500 0.500
CELL_PARAMETERS angstrom
5.640 0.000 0.000
2.820 4.884 0.000
2.820 1.628 4.605



[4]
! PBE KEu2Lu, relaxed; values from VASP
! space-group type = P4/mmm (123)
&SYSTEM
  ibrav = 0, nat = 4, ntyp = 3
/
ATOMIC_SPECIES
Eu 151.96 Eu.upf
K 39.10 K.upf
Lu 174.97 Lu.upf
ATOMIC_POSITIONS crystal
Eu 0.000 0.000 0.794
Eu 0.000 0.000 0.206
K 0.500 0.500 0.500
Lu 0.500 0.500 0.000
CELL_PARAMETERS angstrom
3.782 0.000 0.000
0.000 3.782 0.000
0.000 0.000 12.133



[5]
! PBE KEu2Mg, relaxed; values from VASP
! space-group type = R-3m (166)
&SYSTEM
  ibrav = 0, nat = 4, ntyp = 3
/
ATOMIC_SPECIES
K 39.10 K.upf
Eu 151.96 Eu.upf
Mg 24.30 Mg.upf
ATOMIC_POSITIONS crystal
K 0.000 0.000 0.000
Eu 0.901 0.901 0.298
Eu 0.099 0.099 0.702
Mg 0.500 0.500 0.500
CELL_PARAMETERS angstrom
-3.234 1.963 0.842
-2.245 -1.136 2.948
5.126 8.155 9.595



[6]
! PBE KEuMg4, relaxed; values from VASP
! space-group type = F-43m (216)
&SYSTEM
  ibrav = 0, nat = 6, ntyp = 3
/
ATOMIC_SPECIES
K 39.10 K.upf
Mg 24.30 Mg.upf
Eu 151.96 Eu.upf
ATOMIC_POSITIONS crystal
K 0.250 0.250 0.250
Mg 0.123 0.626 0.626
Mg 0.626 0.123 0.626
Mg 0.626 0.626 0.626
Mg 0.626 0.626 0.123
Eu 0.000 0.000 0.000
CELL_PARAMETERS angstrom
6.429 0.000 0.000
3.215 5.568 0.000
3.215 1.856 5.249



[7]
! PBE KEu2Mg, relaxed; values from VASP
! space-group type = P4/mmm (123)
&SYSTEM
  ibrav = 0, nat = 4, ntyp = 3
/
ATOMIC_SPECIES
K 39.10 K.upf
Eu 151.96 Eu.upf
Mg 24.30 Mg.upf
ATOMIC_POSITIONS crystal
K 0.500 0.500 0.500
Eu 0.000 0.000 0.182
Eu 0.000 0.000 0.818
Mg 0.500 0.500 0.000
CELL_PARAMETERS angstrom
4.019 0.000 0.000
0.000 4.019 0.000
0.000 0.000 11.005



[8]
! PBE KEuMgPb, relaxed; values from VASP
! space-group type = F-43m (216)
&SYSTEM
  ibrav = 0, nat = 4, ntyp = 4
/
ATOMIC_SPECIES
Pb 207.20 Pb.upf
Mg 24.30 Mg.upf
K 39.10 K.upf
Eu 151.96 Eu.upf
ATOMIC_POSITIONS crystal
Pb 0.500 0.500 0.500
Mg 0.000 0.000 0.000
K 0.250 0.250 0.250
Eu 0.750 0.750 0.750
CELL_PARAMETERS angstrom
5.773 0.000 0.000
2.886 4.999 0.000
2.886 1.666 4.713



[9]
! PBE KEuMgTl, relaxed; values from VASP
! space-group type = F-43m (216)
&SYSTEM
  ibrav = 0, nat = 4, ntyp = 4
/
ATOMIC_SPECIES
Mg 24.30 Mg.upf
K 39.10 K.upf
Tl 204.38 Tl.upf
Eu 151.96 Eu.upf
ATOMIC_POSITIONS crystal
Mg 0.250 0.250 0.250
K 0.500 0.500 0.500
Tl 0.000 0.000 0.000
Eu 0.750 0.750 0.750
CELL_PARAMETERS angstrom
-1.762 -4.032 -3.441
3.518 -4.025 -1.620
-0.651 -5.211 1.904



The records above yield ΔE_f values of 0.181; -0.209; -0.009; 0.170; 0.154; 0.045; 0.065; -0.091; -0.027 eV/atom, respectively.